[1]
5
Lattice="5.1252 0.0000 0.0000 0.0000 5.1252 0.0000 0.0000 0.0000 5.4095" Properties=species:S:1:pos:R:3 comment="BiPS2F SCAN single point on PBEsol structure" sg=P4/mmm raw_formation_energy_ev_per_atom=0.98 density_g_cm3=3.776 dos_ef_per_ev_cell=5.544 total_magnetization_mub_per_cell=3.5 pbc="T T T"
P 0.0000 0.0000 2.7047
S 0.0000 2.5626 0.0000
S 2.5626 0.0000 0.0000
Bi 0.0000 0.0000 0.0000
F 2.5626 2.5626 2.7047


[2]
5
Lattice="-2.7819 1.9730 -3.1641 2.3287 -2.1638 -3.3968 -2.9122 -3.6150 0.3063" Properties=species:S:1:pos:R:3 comment="BiPbF3 SCAN single point on PBEsol structure" sg=Pm-3m raw_formation_energy_ev_per_atom=-1.43 density_g_cm3=7.803 dos_ef_per_ev_cell=3.382 total_magnetization_mub_per_cell=0.8 pbc="T T T"
Pb -1.6827 -1.9029 -3.1273
Bi 0.0000 0.0000 0.0000
F 1.1644 -1.0819 -1.6984
F -1.4561 -1.8075 0.1531
F -1.3910 0.9865 -1.5820


[3]
4
Lattice="-2.9843 -2.5847 -1.7971 1.2090 -3.6856 -1.9421 -0.9403 -3.8220 1.8234" Properties=species:S:1:pos:R:3 comment="BiPdF2 SCAN single point on PBEsol structure" sg=Fm-3m polymorph_energy_kj_per_mol_fu=0.0 raw_formation_energy_ev_per_atom=-0.89 density_g_cm3=10.168 dos_ef_per_ev_cell=3.073 total_magnetization_mub_per_cell=0.0 pbc="T T T"
Bi -1.3578 -5.0462 -0.9579
Pd 0.0000 0.0000 0.0000
F -0.6789 -2.5231 -0.4790
F -2.0367 -7.5692 -1.4369


[4]
4
Lattice="3.3963 0.0000 0.0000 1.6982 2.9413 0.0000 1.6982 0.9804 7.2089" Properties=species:S:1:pos:R:3 comment="BiPdF2 SCAN single point on PBEsol structure" sg=R-3m polymorph_energy_kj_per_mol_fu=1.7 raw_formation_energy_ev_per_atom=-0.88 density_g_cm3=8.149 dos_ef_per_ev_cell=3.070 total_magnetization_mub_per_cell=1.2 pbc="T T T"
Bi 0.0000 0.0000 0.0000
Pd 3.3963 1.9609 3.6045
F 5.0945 2.9413 2.3432
F 1.6982 0.9804 4.8657


[5]
5
Lattice="4.3059 0.0000 0.0000 0.0000 4.3059 0.0000 0.0000 0.0000 4.3059" Properties=species:S:1:pos:R:3 comment="BiPtF3 SCAN single point on PBEsol structure" sg=Pm-3m raw_formation_energy_ev_per_atom=-0.61 density_g_cm3=9.590 dos_ef_per_ev_cell=3.746 total_magnetization_mub_per_cell=0.0 pbc="T T T"
Bi 2.1529 2.1529 2.1529
Pt 0.0000 0.0000 0.0000
F 0.0000 2.1529 0.0000
F 0.0000 0.0000 2.1529
F 2.1529 0.0000 0.0000


[6]
4
Lattice="-3.0452 0.2861 -0.2407 -1.5248 -1.5809 -2.1421 -2.5562 -6.8320 4.6646" Properties=species:S:1:pos:R:3 comment="BiPtF2 SCAN single point on PBEsol structure" sg=R-3m raw_formation_energy_ev_per_atom=-0.43 density_g_cm3=10.624 dos_ef_per_ev_cell=1.286 total_magnetization_mub_per_cell=1.2 pbc="T T T"
Bi 0.0000 0.0000 0.0000
Pt -3.5631 -4.0634 1.1409
F -4.8396 -2.9651 -0.9582
F -2.2867 -5.1617 3.2400


[7]
5
Lattice="5.1644 0.0000 0.0000 0.0000 5.1644 0.0000 0.0000 0.0000 5.1075" Properties=species:S:1:pos:R:3 comment="BiPtS2F SCAN single point on PBEsol structure" sg=P4/mmm raw_formation_energy_ev_per_atom=1.03 density_g_cm3=5.939 dos_ef_per_ev_cell=6.286 total_magnetization_mub_per_cell=1.8 pbc="T T T"
S 0.0000 2.5822 0.0000
S 2.5822 0.0000 0.0000
Bi 0.0000 0.0000 0.0000
Pt 0.0000 0.0000 2.5538
F 2.5822 2.5822 2.5538


[8]
24
Lattice="8.3881 0.0000 0.0000 4.1941 7.2643 0.0000 4.1941 2.4214 6.8489" Properties=species:S:1:pos:R:3 comment="RbBiF4 SCAN single point on PBEsol structure" sg=Fd-3m raw_formation_energy_ev_per_atom=-2.57 density_g_cm3=5.896 dos_ef_per_ev_cell=0.000 total_magnetization_mub_per_cell=0.1 pbc="T T T"
Rb 4.1941 4.8429 0.8561
Rb 6.2911 1.2107 0.8561
Rb 4.1941 2.4214 4.2805
Rb 2.0970 1.2107 0.8561
Bi 10.4851 6.0536 4.2805
Bi 8.3881 4.8429 0.8561
Bi 6.2911 6.0536 4.2805
Bi 8.3881 2.4214 4.2805
F 10.7869 6.2278 6.6025
F 14.3774 6.2278 6.6025
F 6.5928 3.8064 4.8903
F 8.3881 6.9159 4.8903
F 10.7869 8.3008 3.6708
F 10.1834 5.8794 1.9586
F 12.5822 5.1913 3.6708
F 4.1941 2.4214 1.7122
F 10.1834 3.8064 4.8903
F 8.3881 2.7699 1.9586
F 0.0000 0.0000 0.0000
F 14.3774 8.3008 3.6708
F 12.5822 7.2643 5.1367
F 6.5928 5.8794 1.9586
F 12.5822 9.3373 6.6025
F 8.3881 4.8429 3.4244


[9]
10
Lattice="6.8608 0.0000 0.0000 3.4304 5.9416 0.0000 3.4304 1.9805 5.6018" Properties=species:S:1:pos:R:3 comment="Rb3BiF6 SCAN single point on PBEsol structure" sg=Fm-3m raw_formation_energy_ev_per_atom=-2.67 density_g_cm3=4.213 dos_ef_per_ev_cell=0.000 total_magnetization_mub_per_cell=0.0 pbc="T T T"
Bi 6.8608 3.9611 2.8009
Rb 3.4304 1.9805 1.4004
Rb 10.2912 5.9416 4.2013
Rb 0.0000 0.0000 0.0000
F 6.8608 5.7943 4.0972
F 5.2731 4.8777 1.5046
F 8.4484 3.0444 4.0972
F 6.8608 2.1278 1.5046
F 5.2731 3.0444 4.0972
F 8.4484 4.8777 1.5046


[10]
28
Lattice="-3.7523 -6.2149 4.3544 2.4821 -8.0211 -1.0802 4.2141 -3.9930 6.1614" Properties=species:S:1:pos:R:3 comment="RbBi3F10 SCAN single point on PBEsol structure" sg=Fm-3m raw_formation_energy_ev_per_atom=-2.55 density_g_cm3=6.986 dos_ef_per_ev_cell=0.000 total_magnetization_mub_per_cell=0.0 pbc="T T T"
Rb 0.7360 -4.5573 2.3589
Rb 2.2079 -13.6718 7.0767
Bi -1.2419 -7.6083 4.5291
Bi 4.1857 -10.6208 4.9066
Bi 0.9472 -9.6825 7.7297
Bi 1.9967 -8.5465 1.7060
Bi 0.0475 -11.7749 3.9679
Bi 2.8964 -6.4541 5.4677
F 2.7115 -7.0615 3.2794
F 0.2324 -11.1675 6.1563
F 2.0441 -7.7839 7.1100
F 0.8998 -10.4451 2.3257
F 4.1035 -8.3806 5.3147
F 2.2919 -11.7642 4.3610
F -1.1597 -9.8485 4.1209
F 0.6520 -6.4649 5.0747
F 3.5314 -9.7112 2.9226
F -0.5875 -8.5179 6.5131
F 2.8640 -10.4336 6.7532
F 0.0799 -7.7955 2.6825
F -1.7181 -5.4636 3.4500
F 4.6620 -12.7654 5.9856
F 1.6907 -6.4512 0.4785
F 2.6377 -4.2488 4.4380
F 1.2531 -11.7778 8.9572
F 0.3061 -13.9803 4.9976
F 0.3336 -2.0654 1.0691
F 2.6103 -16.1636 8.3666


[11]
5
Lattice="-4.6066 2.3624 -0.9214 -2.5357 -4.2971 1.6600 -0.0072 1.8986 4.9036" Properties=species:S:1:pos:R:3 comment="ReBi3F SCAN single point on PBEsol structure" sg=Pm-3m raw_formation_energy_ev_per_atom=0.41 density_g_cm3=9.504 dos_ef_per_ev_cell=4.902 total_magnetization_mub_per_cell=0.0 pbc="T T T"
Re 0.0000 0.0000 0.0000
Bi -1.2678 -2.1485 0.8300
Bi -0.0036 0.9493 2.4518
Bi -2.3033 1.1812 -0.4607
F -3.5747 -0.0180 2.8211


[12]
5
Lattice="-3.6376 -2.9349 -2.3036 -2.2584 -0.8288 4.6222 -2.9698 4.2251 -0.6934" Properties=species:S:1:pos:R:3 comment="Bi3RuF SCAN single point on PBEsol structure" sg=Pm-3m raw_formation_energy_ev_per_atom=0.21 density_g_cm3=8.768 dos_ef_per_ev_cell=6.117 total_magnetization_mub_per_cell=1.5 pbc="T T T"
Ru 0.0000 0.0000 0.0000
Bi -1.1292 -0.4144 2.3111
Bi -1.4849 2.1125 -0.3467
Bi -1.8188 -1.4674 -1.1518
F -4.4329 0.2307 0.8126


[13]
5
Lattice="4.7409 0.0000 0.0000 0.0000 4.7409 0.0000 0.0000 0.0000 5.8848" Properties=species:S:1:pos:R:3 comment="YBiRu2F SCAN single point on PBEsol structure" sg=P4/mmm raw_formation_energy_ev_per_atom=1.39 density_g_cm3=6.516 dos_ef_per_ev_cell=2.771 total_magnetization_mub_per_cell=2.7 pbc="T T T"
Y 0.0000 0.0000 0.0000
Ru 0.0000 2.3704 0.0000
Ru 2.3704 0.0000 0.0000
Bi 0.0000 0.0000 2.9424
F 2.3704 2.3704 2.9424


[14]
5
Lattice="4.9730 0.0000 0.0000 0.0000 4.9730 0.0000 0.0000 0.0000 4.9730" Properties=species:S:1:pos:R:3 comment="Bi3SF SCAN single point on PBEsol structure" sg=Pm-3m raw_formation_energy_ev_per_atom=0.19 density_g_cm3=9.154 dos_ef_per_ev_cell=4.247 total_magnetization_mub_per_cell=0.0 pbc="T T T"
S 2.4865 2.4865 2.4865
Bi 0.0000 2.4865 0.0000
Bi 0.0000 0.0000 2.4865
Bi 2.4865 0.0000 0.0000
F 0.0000 0.0000 0.0000


[15]
4
Lattice="4.8621 0.0000 0.0000 2.4310 4.2107 0.0000 2.4310 1.4036 3.9699" Properties=species:S:1:pos:R:3 comment="Bi2SF SCAN single point on PBEsol structure" sg=Fm-3m raw_formation_energy_ev_per_atom=-0.39 density_g_cm3=9.583 dos_ef_per_ev_cell=2.038 total_magnetization_mub_per_cell=0.0 pbc="T T T"
S 4.8621 2.8071 1.9849
Bi 2.4310 1.4036 0.9925
Bi 7.2931 4.2107 2.9774
F 0.0000 0.0000 0.0000


[16]
5
Lattice="-2.8780 -0.7992 3.0703 -0.2433 -4.0775 -1.2895 4.1385 -1.3617 3.5249" Properties=species:S:1:pos:R:3 comment="Sc2BiSF SCAN single point on PBEsol structure" sg=P4/mmm raw_formation_energy_ev_per_atom=-0.76 density_g_cm3=5.651 dos_ef_per_ev_cell=3.787 total_magnetization_mub_per_cell=0.0 pbc="T T T"
Sc -0.1217 -2.0388 -0.6448
Sc -1.4390 -0.3996 1.5351
S 0.5086 -3.1192 2.6528
Bi 2.0693 -0.6809 1.7625
F 0.0000 0.0000 0.0000


[17]
5
Lattice="-3.6270 2.5171 -1.7881 -3.0244 -3.4516 1.2758 -0.7695 2.6085 5.2331" Properties=species:S:1:pos:R:3 comment="ZrBiS2F SCAN single point on PBEsol structure" sg=P4/mmm raw_formation_energy_ev_per_atom=-0.55 density_g_cm3=4.757 dos_ef_per_ev_cell=2.968 total_magnetization_mub_per_cell=0.0 pbc="T T T"
S -1.5122 -1.7258 0.6379
S -1.8135 1.2586 -0.8940
Bi -0.3848 1.3043 2.6166
Zr 0.0000 0.0000 0.0000
F -3.7105 0.8370 2.3604


[18]
24
Lattice="-1.9059 -1.9012 -4.6145 -2.5045 -6.9786 4.4616 -5.9065 6.3120 0.3909" Properties=species:S:1:pos:R:3 comment="BiSb3F20 SCAN single point on PBEsol structure" sg=C2 raw_formation_energy_ev_per_atom=-2.16 density_g_cm3=4.279 dos_ef_per_ev_cell=0.000 total_magnetization_mub_per_cell=0.4 pbc="T T T"
Bi -5.1848 3.4927 1.2544
Sb -3.1939 -4.2852 3.6367
Sb -3.6230 -1.6174 -2.2882
Sb -6.6987 -0.9318 2.5205
F -3.9999 -2.7687 -0.8689
F -4.6755 -0.1517 -1.7877
F -6.3447 0.3312 1.1842
F -5.6640 -2.3502 1.8882
F -3.0196 -0.4208 1.1847
F -7.2926 -2.1656 -0.9410
F -7.6213 0.6863 -1.6777
F -6.2068 -4.9338 -0.1479
F -2.6531 -3.3266 2.1294
F -4.0870 2.1816 0.2508
F -2.3710 -2.9527 -3.0999
F -3.0051 -0.5400 -3.9324
F -7.9449 0.4453 3.4128
F -7.3293 -2.0241 4.0757
F -2.0737 -0.9150 -1.4943
F -8.2757 -1.5261 1.6935
F -6.8366 3.1504 0.2087
F -4.5740 -5.1705 2.7417
F -3.6059 -5.7461 0.0534
F -5.6159 2.6252 -2.5261


[19]
4
Lattice="-2.7078 1.3457 -4.1329 -3.9076 -2.9178 -1.5624 -4.8124 1.6703 0.5243" Properties=species:S:1:pos:R:3 comment="Bi2SbF SCAN single point on PBEsol structure" sg=Fm-3m raw_formation_energy_ev_per_atom=-0.44 density_g_cm3=9.770 dos_ef_per_ev_cell=2.599 total_magnetization_mub_per_cell=0.0 pbc="T T T"
Sb -5.7139 0.0491 -2.5855
Bi -2.8570 0.0245 -1.2928
Bi -8.5709 0.0736 -3.8783
F 0.0000 0.0000 0.0000


[20]
4
Lattice="4.0145 0.0000 0.0000 2.0072 3.4767 0.0000 2.0072 1.1589 7.7494" Properties=species:S:1:pos:R:3 comment="BiSe2F SCAN single point on PBEsol structure" sg=R-3m raw_formation_energy_ev_per_atom=-0.32 density_g_cm3=5.925 dos_ef_per_ev_cell=1.340 total_magnetization_mub_per_cell=0.0 pbc="T T T"
Bi 4.0145 2.3178 3.8747
Se 2.0072 1.1589 5.6360
Se 6.0217 3.4767 2.1134
F 0.0000 0.0000 0.0000